# 1
A plane-wave DFT calculation with PBE was carried out for Rb2Ba2Na after structural relaxation.

a = 9.6326 Å, b = 9.6326 Å, c = 7.4320 Å
α = 90.00°, β = 90.00°, γ = 90.00°
With the nearest neighbours (Å) after each atom.
Fractional positions:
1 Rb 0.1430 0.3570 0.0000  2 Na 3.70, 1 Rb 3.89
2 Rb 0.3570 0.8570 0.0000  2 Na 3.70, 1 Rb 3.89
3 Rb 0.6430 0.1430 0.0000  2 Na 3.70, 1 Rb 3.89
4 Rb 0.8570 0.6430 0.0000  2 Na 3.70, 1 Rb 3.89
5 Ba 0.1761 0.6761 0.5000  6 Rb 4.46-4.83, 1 Ba 4.80
6 Ba 0.3239 0.1761 0.5000  6 Rb 4.46-4.83, 1 Ba 4.80
7 Ba 0.6761 0.8239 0.5000  6 Rb 4.46-4.83, 1 Ba 4.80
8 Ba 0.8239 0.3239 0.5000  6 Rb 4.46-4.83, 1 Ba 4.80
9 Na 0.0000 0.0000 0.0000  4 Rb 3.70
10 Na 0.5000 0.5000 0.0000  4 Rb 3.70

Computed properties:
Total DFT energy (no corrections) (eV per atom): -1.21
E above lowest polymorph (kJ/mol of formula units): 0
Formation enthalpy at 0 K (eV per atom): 0.21

---

# 2
A plane-wave DFT calculation with PBE was carried out for Rb2Ba2Na after structural relaxation.

a = 5.4590 Å, b = 5.4590 Å, c = 24.4195 Å
α = 90.00°, β = 90.00°, γ = 90.00°
With the nearest neighbours (Å) after each atom.
Fractional positions:
1 Rb 0.0000 0.5000 0.2500  4 Rb 3.86
2 Rb 0.0000 0.5000 0.7500  4 Rb 3.86
3 Rb 0.5000 0.0000 0.2500  4 Rb 3.86
4 Rb 0.5000 0.0000 0.7500  4 Rb 3.86
5 Ba 0.0000 0.0000 0.0859  1 Ba 4.20, 4 Na 4.39
6 Ba 0.0000 0.0000 0.9141  1 Ba 4.20, 4 Na 4.39
7 Ba 0.5000 0.5000 0.4141  1 Ba 4.20, 4 Na 4.39
8 Ba 0.5000 0.5000 0.5859  1 Ba 4.20, 4 Na 4.39
9 Na 0.0000 0.0000 0.5000  8 Ba 4.39
10 Na 0.5000 0.5000 0.0000  8 Ba 4.39

Computed properties:
Total DFT energy (no corrections) (eV per atom): -1.15
E above lowest polymorph (kJ/mol of formula units): 33
Formation enthalpy at 0 K (eV per atom): 0.27

---

# 3
A plane-wave DFT calculation with PBE was carried out for Rb3BaNa8 after structural relaxation.

a = 7.4747 Å, b = 7.4747 Å, c = 12.4419 Å
α = 90.00°, β = 90.00°, γ = 120.00°
With the nearest neighbours (Å) after each atom.
Fractional positions:
1 Rb 0.0000 0.0000 0.0000  12 Na 4.38-4.54, 4 Rb 4.59-4.63
2 Rb 0.0000 0.0000 0.3724  12 Na 4.35-4.39, 3 Ba 4.59, 1 Rb 4.63
3 Rb 0.3333 0.6667 0.8739  12 Na 4.39-4.51, 3 Rb 4.59, 1 Ba 4.67
4 Ba 0.3333 0.6667 0.4986  12 Na 4.35-4.38, 4 Rb 4.59-4.67
5 Na 0.0042 0.5021 0.1937  6 Na 3.69-3.85
6 Na 0.3324 0.1662 0.6789  6 Na 3.70-3.89
7 Na 0.4979 0.5021 0.1937  6 Na 3.69-3.85
8 Na 0.4979 0.9958 0.1937  6 Na 3.69-3.85
9 Na 0.6667 0.3333 0.4372  6 Na 3.70-3.74
10 Na 0.6667 0.3333 0.9386  6 Na 3.85-3.89
11 Na 0.8338 0.1662 0.6789  6 Na 3.70-3.89
12 Na 0.8338 0.6676 0.6789  6 Na 3.70-3.89

Computed properties:
Total DFT energy (no corrections) (eV per atom): -1.27
Formation enthalpy at 0 K (eV per atom): 0.01

---

# 4
A plane-wave DFT calculation with PBE was carried out for RbBa5Na6 after structural relaxation.

a = 10.5107 Å, b = 10.5107 Å, c = 9.5645 Å
α = 90.00°, β = 90.00°, γ = 143.06°
With the nearest neighbours (Å) after each atom.
Fractional positions:
1 Rb 0.0000 0.0000 0.0000  8 Na 4.11-4.13
2 Ba 0.0000 0.0000 0.5000  8 Na 4.07-4.09
3 Ba 0.3302 0.6698 0.0000  8 Na 4.04-4.18
4 Ba 0.3317 0.6683 0.5000  8 Na 4.05-4.09
5 Ba 0.6683 0.3317 0.5000  8 Na 4.05-4.09
6 Ba 0.6698 0.3302 0.0000  8 Na 4.04-4.18
7 Na 0.1670 0.8330 0.2513  7 Ba 4.04-4.11, 1 Rb 4.11
8 Na 0.1670 0.8330 0.7487  7 Ba 4.04-4.11, 1 Rb 4.11
9 Na 0.5000 0.5000 0.2559  6 Ba 4.07-4.18, 2 Rb 4.13
10 Na 0.5000 0.5000 0.7441  6 Ba 4.07-4.18, 2 Rb 4.13
11 Na 0.8330 0.1670 0.2513  7 Ba 4.04-4.11, 1 Rb 4.11
12 Na 0.8330 0.1670 0.7487  7 Ba 4.04-4.11, 1 Rb 4.11

Computed properties:
Total DFT energy (no corrections) (eV per atom): -1.51
Formation enthalpy at 0 K (eV per atom): 0.03

---

# 5
A plane-wave DFT calculation with PBE was carried out for Rb4BaNa after structural relaxation.

a = 8.7384 Å, b = 8.7384 Å, c = 8.7384 Å
α = 60.00°, β = 60.00°, γ = 60.00°
With the nearest neighbours (Å) after each atom.
Fractional positions:
1 Rb 0.1254 0.1254 0.1254  6 Rb 4.36-4.38
2 Rb 0.1254 0.1254 0.6238  6 Rb 4.36-4.38
3 Rb 0.1254 0.6238 0.1254  6 Rb 4.36-4.38
4 Rb 0.6238 0.1254 0.1254  6 Rb 4.36-4.38
5 Ba 0.7500 0.7500 0.7500  12 Rb 5.12, 4 Na 5.35
6 Na 0.5000 0.5000 0.5000  12 Rb 5.12, 4 Ba 5.35

Computed properties:
Total DFT energy (no corrections) (eV per atom): -1.00
Formation enthalpy at 0 K (eV per atom): 0.18

---

# 6
A plane-wave DFT calculation with PBE was carried out for RbBaNa2 after structural relaxation.

a = 9.5906 Å, b = 9.5906 Å, c = 9.5906 Å
α = 90.00°, β = 90.00°, γ = 90.00°
With the nearest neighbours (Å) after each atom.
Fractional positions:
1 Rb 0.0000 0.0000 0.0000  8 Na 4.15
2 Rb 0.0000 0.5000 0.5000  8 Na 4.15
3 Rb 0.5000 0.0000 0.5000  8 Na 4.15
4 Rb 0.5000 0.5000 0.0000  8 Na 4.15
5 Ba 0.0000 0.0000 0.5000  8 Na 4.15
6 Ba 0.0000 0.5000 0.0000  8 Na 4.15
7 Ba 0.5000 0.0000 0.0000  8 Na 4.15
8 Ba 0.5000 0.5000 0.5000  8 Na 4.15
9 Na 0.2500 0.2500 0.2500  4 Ba 4.15, 4 Rb 4.15
10 Na 0.2500 0.2500 0.7500  4 Ba 4.15, 4 Rb 4.15
11 Na 0.2500 0.7500 0.2500  4 Ba 4.15, 4 Rb 4.15
12 Na 0.2500 0.7500 0.7500  4 Ba 4.15, 4 Rb 4.15
13 Na 0.7500 0.2500 0.2500  4 Ba 4.15, 4 Rb 4.15
14 Na 0.7500 0.2500 0.7500  4 Ba 4.15, 4 Rb 4.15
15 Na 0.7500 0.7500 0.2500  4 Ba 4.15, 4 Rb 4.15
16 Na 0.7500 0.7500 0.7500  4 Ba 4.15, 4 Rb 4.15

Computed properties:
Total DFT energy (no corrections) (eV per atom): -1.32
E above lowest polymorph (kJ/mol of formula units): 16
Formation enthalpy at 0 K (eV per atom): 0.07

---

# 7
A plane-wave DFT calculation with PBE was carried out for RbBaNa2 after structural relaxation.

a = 10.4835 Å, b = 10.4835 Å, c = 8.4909 Å
α = 90.00°, β = 90.00°, γ = 90.00°
With the nearest neighbours (Å) after each atom.
Fractional positions:
1 Rb 0.0000 0.0000 0.0000  4 Na 3.79
2 Rb 0.0000 0.5000 0.2500  4 Na 3.79
3 Rb 0.5000 0.0000 0.7500  4 Na 3.79
4 Rb 0.5000 0.5000 0.5000  4 Na 3.79
5 Ba 0.0000 0.0000 0.5000  4 Na 3.92, 2 Rb 4.25
6 Ba 0.0000 0.5000 0.7500  4 Na 3.92, 2 Rb 4.25
7 Ba 0.5000 0.0000 0.2500  4 Na 3.92, 2 Rb 4.25
8 Ba 0.5000 0.5000 0.0000  4 Na 3.92, 2 Rb 4.25
9 Na 0.2404 0.7500 0.1250  2 Rb 3.79, 2 Ba 3.92
10 Na 0.2500 0.2404 0.8750  2 Rb 3.79, 2 Ba 3.92
11 Na 0.2500 0.2596 0.3750  2 Rb 3.79, 2 Ba 3.92
12 Na 0.2596 0.7500 0.6250  2 Rb 3.79, 2 Ba 3.92
13 Na 0.7404 0.2500 0.6250  2 Rb 3.79, 2 Ba 3.92
14 Na 0.7500 0.7404 0.3750  2 Rb 3.79, 2 Ba 3.92
15 Na 0.7500 0.7596 0.8750  2 Rb 3.79, 2 Ba 3.92
16 Na 0.7596 0.2500 0.1250  2 Rb 3.79, 2 Ba 3.92

Computed properties:
Total DFT energy (no corrections) (eV per atom): -1.21
E above lowest polymorph (kJ/mol of formula units): 57
Formation enthalpy at 0 K (eV per atom): 0.17

---

# 8
A plane-wave DFT calculation with PBE was carried out for RbBaNa3 after structural relaxation.

a = 6.6349 Å, b = 6.6349 Å, c = 6.6349 Å
α = 90.00°, β = 90.00°, γ = 90.00°
With the nearest neighbours (Å) after each atom.
Fractional positions:
1 Rb 0.0000 0.0000 0.0000  6 Na 3.32
2 Ba 0.5000 0.5000 0.5000  12 Na 4.69
3 Na 0.0000 0.0000 0.5000  2 Rb 3.32
4 Na 0.0000 0.5000 0.0000  2 Rb 3.32
5 Na 0.5000 0.0000 0.0000  2 Rb 3.32

Computed properties:
Total DFT energy (no corrections) (eV per atom): -1.05
E above lowest polymorph (kJ/mol of formula units): 128
Formation enthalpy at 0 K (eV per atom): 0.32

---

# 9
A plane-wave DFT calculation with PBE was carried out for Rb2Ba2Na after structural relaxation.

a = 9.8685 Å, b = 9.8685 Å, c = 7.5670 Å
α = 90.00°, β = 90.00°, γ = 90.00°
With the nearest neighbours (Å) after each atom.
Fractional positions:
1 Rb 0.1676 0.3324 0.0000  6 Ba 4.54-4.93, 1 Rb 4.68
2 Rb 0.3324 0.8324 0.0000  6 Ba 4.54-4.93, 1 Rb 4.68
3 Rb 0.6676 0.1676 0.0000  6 Ba 4.54-4.93, 1 Rb 4.68
4 Rb 0.8324 0.6676 0.0000  6 Ba 4.54-4.93, 1 Rb 4.68
5 Ba 0.1525 0.6525 0.5000  2 Na 3.74
6 Ba 0.3475 0.1525 0.5000  2 Na 3.74
7 Ba 0.6525 0.8475 0.5000  2 Na 3.74
8 Ba 0.8475 0.3475 0.5000  2 Na 3.74
9 Na 0.0000 0.0000 0.5000  4 Ba 3.74
10 Na 0.5000 0.5000 0.5000  4 Ba 3.74

Computed properties:
Total DFT energy (no corrections) (eV per atom): -1.21
E above lowest polymorph (kJ/mol of formula units): 1
Formation enthalpy at 0 K (eV per atom): 0.21

---

# 10
A plane-wave DFT calculation with PBE was carried out for RbBaNa2 after structural relaxation.

a = 4.4073 Å, b = 4.4073 Å, c = 40.8413 Å
α = 90.00°, β = 90.00°, γ = 120.00°
With the nearest neighbours (Å) after each atom.
Fractional positions:
1 Rb 0.0000 0.0000 0.0000  6 Na 4.38-4.39, 6 Rb 4.41
2 Rb 0.3333 0.6667 0.6667  6 Na 4.38-4.39, 6 Rb 4.41
3 Rb 0.6667 0.3333 0.3333  6 Na 4.38-4.39, 6 Rb 4.41
4 Ba 0.0000 0.0000 0.8334  6 Na 4.11, 6 Ba 4.41
5 Ba 0.3333 0.6667 0.5001  6 Na 4.11, 6 Ba 4.41
6 Ba 0.6667 0.3333 0.1668  6 Na 4.11, 6 Ba 4.41
7 Na 0.0000 0.0000 0.4210  3 Ba 4.11, 3 Rb 4.39, 6 Na 4.41
8 Na 0.0000 0.0000 0.5792  3 Ba 4.11, 3 Rb 4.38, 6 Na 4.41
9 Na 0.3333 0.6667 0.0876  3 Ba 4.11, 3 Rb 4.39, 6 Na 4.41
10 Na 0.3333 0.6667 0.2459  3 Ba 4.11, 3 Rb 4.38, 6 Na 4.41
11 Na 0.6667 0.3333 0.7543  3 Ba 4.11, 3 Rb 4.39, 6 Na 4.41
12 Na 0.6667 0.3333 0.9126  3 Ba 4.11, 3 Rb 4.38, 6 Na 4.41

Computed properties:
Total DFT energy (no corrections) (eV per atom): -1.30
E above lowest polymorph (kJ/mol of formula units): 21
Formation enthalpy at 0 K (eV per atom): 0.08

---

# 11
A plane-wave DFT calculation with PBE was carried out for RbBa2Na6 after structural relaxation.

a = 10.9093 Å, b = 10.9093 Å, c = 4.2755 Å
α = 90.00°, β = 90.00°, γ = 120.00°
With the nearest neighbours (Å) after each atom.
Fractional positions:
1 Rb 0.0000 0.0000 0.0000  12 Na 4.27, 2 Rb 4.28
2 Ba 0.3333 0.6667 0.0000  12 Na 4.19, 2 Ba 4.28
3 Ba 0.6667 0.3333 0.0000  12 Na 4.19, 2 Ba 4.28
4 Na 0.0000 0.3394 0.5000  3 Na 3.51-3.70
5 Na 0.0000 0.6606 0.5000  3 Na 3.51-3.70
6 Na 0.3394 0.0000 0.5000  3 Na 3.51-3.70
7 Na 0.3394 0.3394 0.5000  3 Na 3.51-3.70
8 Na 0.6606 0.0000 0.5000  3 Na 3.51-3.70
9 Na 0.6606 0.6606 0.5000  3 Na 3.51-3.70

Computed properties:
Total DFT energy (no corrections) (eV per atom): -1.39
Formation enthalpy at 0 K (eV per atom): 0.03

---

# 12
A plane-wave DFT calculation with PBE was carried out for Rb2BaNa4 after structural relaxation.

a = 4.5308 Å, b = 37.7071 Å, c = 4.5642 Å
α = 90.00°, β = 90.00°, γ = 90.00°
With the nearest neighbours (Å) after each atom.
Fractional positions:
1 Rb 0.0000 0.1912 0.0000  5 Na 4.37-4.63, 4 Rb 4.53-4.56
2 Rb 0.0000 0.8088 0.0000  5 Na 4.37-4.63, 4 Rb 4.53-4.56
3 Rb 0.5000 0.3088 0.0000  5 Na 4.37-4.63, 4 Rb 4.53-4.56
4 Rb 0.5000 0.6912 0.0000  5 Na 4.37-4.63, 4 Rb 4.53-4.56
5 Ba 0.0000 0.5000 0.5000  10 Na 4.13-4.25, 4 Ba 4.53-4.56
6 Ba 0.5000 0.0000 0.5000  10 Na 4.13-4.25, 4 Ba 4.53-4.56
7 Na 0.0000 0.0685 0.0000  4 Na 3.62
8 Na 0.0000 0.3874 0.5000  4 Na 3.62
9 Na 0.0000 0.6126 0.5000  4 Na 3.62
10 Na 0.0000 0.9315 0.0000  4 Na 3.62
11 Na 0.5000 0.1126 0.5000  4 Na 3.62
12 Na 0.5000 0.4315 0.0000  4 Na 3.62
13 Na 0.5000 0.5685 0.0000  4 Na 3.62
14 Na 0.5000 0.8874 0.5000  4 Na 3.62

Computed properties:
Total DFT energy (no corrections) (eV per atom): -1.27
Formation enthalpy at 0 K (eV per atom): 0.03